Run a
A plane-wave DFT calculation with PBE was carried out for crystalline NiAgHg2 at its relaxed geometry.

Cell lengths 4.384, 4.384, 3.760 Å; angles 90.00, 90.00, 90.00 degrees
Fractional coordinates of all 4 atoms:
Ni1 0.000 0.000 0.000
Ag1 0.500 0.500 0.000
Hg1 0.000 0.500 0.500
Hg2 0.500 0.000 0.500

---

Run b
A plane-wave DFT calculation with PBE was carried out for crystalline NiAgHg2 at its relaxed geometry.

Cell lengths 3.099, 3.099, 7.484 Å; angles 90.00, 90.00, 90.00 degrees
Fractional coordinates of all 4 atoms:
Ni1 0.000 0.000 0.000
Ag1 0.000 0.000 0.500
Hg1 0.500 0.500 0.222
Hg2 0.500 0.500 0.778

---

Run c
A plane-wave DFT calculation with PBE was carried out for crystalline NiAgHg2 at its relaxed geometry.

Cell lengths 4.763, 3.138, 5.384 Å; angles 90.00, 111.80, 90.00 degrees
Fractional coordinates of all 4 atoms:
Ni1 0.000 0.000 0.000
Ag1 0.000 0.500 0.500
Hg1 0.500 0.000 0.500
Hg2 0.500 0.500 0.000

---

Run d
A plane-wave DFT calculation with PBE was carried out for crystalline NiAgHg2 at its relaxed geometry.

Cell lengths 4.689, 4.689, 4.689 Å; angles 60.00, 60.00, 60.00 degrees
Fractional coordinates of all 4 atoms:
Ni1 0.000 0.000 0.000
Ag1 0.750 0.750 0.750
Hg1 0.250 0.250 0.250
Hg2 0.500 0.500 0.500

---

What is the least stable structure shown above? It is run d.